w | Computed, not measured: a relaxed MnBe2OsN crystal at the PBE level of DFT.

Results
The space-group type is P4/mmm. Its magnetic moment is 1.4 μB/f.u.

Cell: 4.118 3.376 4.118 Å, 90.00 90.00 90.00°
Each line ends with the local moment (μB).
Atoms (fractional coordinates):
1 Be 0.000 0.000 0.500  -0.02
2 Mn 0.000 0.000 0.000  0.94
3 Be 0.500 0.000 0.000  -0.03
4 N 0.000 0.500 0.000  -0.07
5 Os 0.500 0.500 0.500  0.58


x | Computed, not measured: a relaxed MnBe2OsN crystal at the PBE level of DFT.

Results
The space-group type is P4/mmm. Its magnetic moment is 2.0 μB/f.u.

Cell: 4.200 4.687 4.200 Å, 90.00 90.00 90.00°
Each line ends with the local moment (μB).
Atoms (fractional coordinates):
1 Os 0.000 0.000 0.000  -0.26
2 Be 0.500 0.000 0.000  -0.01
3 Be 0.000 0.000 0.500  0.01
4 N 0.500 0.500 0.500  -1.20
5 Mn 0.000 0.500 0.000  3.61


Winner for stability: w